An optimized crystal structure of Nb2FeRe2, computed with PBE-GGA.

Properties
Space-group type = P4/mbm
Total magnetic moment = 0.000 μB per atom
Total DFT energy (no corrections) = -9.999 eV per atom
Formation energy from the elements = 0.700 eV/atom

Cell lengths 7.4057, 7.4057, 3.0802 Å; angles 90.00, 90.00, 90.00 degrees
With the nearest neighbours (Å) after each atom.
Atoms (fractional coordinates):
Nb1 0.1518 0.3482 0.0000  6 Re 2.57-2.72, 2 Fe 2.81
Nb2 0.3482 0.8482 0.0000  6 Re 2.57-2.72, 2 Fe 2.81
Nb3 0.6518 0.1518 0.0000  6 Re 2.57-2.72, 2 Fe 2.81
Nb4 0.8482 0.6518 0.0000  6 Re 2.57-2.72, 2 Fe 2.81
Fe1 0.0000 0.0000 0.0000  4 Nb 2.81, 2 Fe 3.08
Fe2 0.5000 0.5000 0.0000  4 Nb 2.81, 2 Fe 3.08
Re1 0.1515 0.6515 0.5000  6 Nb 2.57-2.72
Re2 0.3485 0.1515 0.5000  6 Nb 2.57-2.72
Re3 0.6515 0.8485 0.5000  6 Nb 2.57-2.72
Re4 0.8485 0.3485 0.5000  6 Nb 2.57-2.72


An optimized crystal structure of Cs2AcTe4Pb2, computed with PBE-GGA.

Properties
Space-group type = C2/m
Energy relative to the elements, uncorrected = -0.902 eV/atom
Total magnetic moment = 0.000 μB per atom
Total DFT energy (no corrections) = -3.768 eV per atom

Cell lengths 10.0880, 10.0880, 9.5319 Å; angles 114.98, 114.98, 28.26 degrees
With the nearest neighbours (Å) after each atom.
Atoms (fractional coordinates):
Cs1 0.1252 0.1252 0.0701  7 Te 3.84-4.17, 1 Pb 3.90
Cs2 0.8748 0.8748 0.9299  7 Te 3.84-4.17, 1 Pb 3.90
Ac1 0.0000 0.0000 0.5000  6 Te 3.32-3.40
Te1 0.1845 0.1845 0.7359  2 Pb 3.09, 1 Ac 3.32
Te2 0.4746 0.4746 0.7189  1 Pb 3.07, 2 Ac 3.40
Te3 0.5254 0.5254 0.2811  1 Pb 3.07, 2 Ac 3.40
Te4 0.8155 0.8155 0.2641  2 Pb 3.09, 1 Ac 3.32
Pb1 0.3124 0.3124 0.4566  3 Te 3.07-3.09
Pb2 0.6876 0.6876 0.5434  3 Te 3.07-3.09


An optimized crystal structure of DyGaHg, computed with PBE-GGA.

Properties
Space-group type = I4mm
Total magnetic moment = 0.000 μB per atom
E above lowest polymorph = 173.6 meV/atom
Total DFT energy (no corrections) = -2.971 eV per atom
Formation energy from the elements = -0.327 eV/atom

Cell lengths 6.1596, 6.1596, 6.1596 Å; angles 147.08, 147.08, 47.25 degrees
With the nearest neighbours (Å) after each atom.
Atoms (fractional coordinates):
Dy1 0.0000 0.0000 0.0000  4 Ga 3.10, 4 Hg 3.21
Ga1 0.3335 0.3335 0.0000  4 Hg 3.01, 4 Dy 3.10
Hg1 0.6816 0.6816 0.0000  4 Ga 3.01, 4 Dy 3.21


An optimized crystal structure of NaLi2TeC, computed with PBE-GGA.

Properties
Space-group type = P4/mmm
Energy relative to the elements, uncorrected = 1.436 eV/atom
Total magnetic moment = 0.381 μB per atom
Total DFT energy (no corrections) = -2.066 eV per atom

Cell lengths 5.4245, 5.4245, 5.1808 Å; angles 90.00, 90.00, 90.00 degrees
With the nearest neighbours (Å) after each atom.
Atoms (fractional coordinates):
Na1 0.0000 0.0000 0.0000  2 Te 2.59, 4 Li 2.71
Li1 0.0000 0.5000 0.0000  2 Na 2.71
Li2 0.5000 0.0000 0.0000  2 Na 2.71
Te1 0.0000 0.0000 0.5000  2 Na 2.59
C1 0.5000 0.5000 0.5000  8 Li 3.75, 4 Te 3.84


An optimized crystal structure of LiTa2Rh, computed with PBE-GGA.

Properties
Space-group type = P2/m
Total magnetic moment = 0.000 μB per atom
Total DFT energy (no corrections) = -8.244 eV per atom
Formation energy from the elements = -0.002 eV/atom

Cell lengths 2.8008, 4.2902, 5.4616 Å; angles 90.00, 104.69, 90.00 degrees
With the nearest neighbours (Å) after each atom.
Atoms (fractional coordinates):
Li1 0.0000 0.0000 0.0000  4 Ta 2.71, 2 Rh 2.73, 2 Li 2.80
Ta1 0.2275 0.5000 0.7470  4 Ta 2.68-2.80, 2 Li 2.71, 2 Rh 2.74
Ta2 0.7725 0.5000 0.2530  4 Ta 2.68-2.80, 2 Li 2.71, 2 Rh 2.74
Rh1 0.5000 0.0000 0.5000  2 Li 2.73, 8 Ta 2.74-3.03, 2 Rh 2.80


An optimized crystal structure of LaP3Cl, computed with PBE-GGA.

Properties
Space-group type = Pm-3m
Energy relative to the elements, uncorrected = 0.984 eV/atom
Total magnetic moment = 0.000 μB per atom
E above lowest polymorph = 767.5 meV/atom
Total DFT energy (no corrections) = -3.617 eV per atom

Cell lengths 5.6012, 5.6012, 5.6012 Å; angles 90.00, 90.00, 90.00 degrees
With the nearest neighbours (Å) after each atom.
Atoms (fractional coordinates):
La1 0.0000 0.0000 0.0000  6 P 2.80
P1 0.0000 0.0000 0.5000  2 La 2.80
P2 0.0000 0.5000 0.0000  2 La 2.80
P3 0.5000 0.0000 0.0000  2 La 2.80
Cl1 0.5000 0.5000 0.5000  12 P 3.96


The highest total magnetic moment belongs to which entry?
NaLi2TeC


Which of these has the highest total magnetic moment?
NaLi2TeC